# 1
Entry from Alexandria via LeMat-Bulk: a relaxed structure of Cu2IBr2 (PBE).

abc: 8.2744 6.5646 7.3224
angles: 89.15 67.77 58.85
Last column: nearest neighbours and their distance in Å.
Atoms (fractional coordinates):
1 Cu 0.1608 0.9045 0.0438  2 Br 2.40-2.54, 2 I 2.59-2.67, 1 Cu 2.62
2 Cu 0.6796 0.1660 0.4798  3 Br 2.35-2.62
3 Cu 0.8392 0.0955 0.9562  2 Br 2.40-2.54, 2 I 2.59-2.67, 1 Cu 2.62
4 Cu 0.3204 0.8340 0.5202  3 Br 2.35-2.62
5 I 0.9066 0.7618 0.1811  3 Cu 2.59-2.69
6 I 0.0934 0.2382 0.8189  3 Cu 2.59-2.69
7 Br 0.5237 0.4083 0.2739  3 Cu 2.40-2.62
8 Br 0.7840 0.9356 0.7095  2 Cu 2.35-2.40
9 Br 0.2160 0.0644 0.2905  2 Cu 2.35-2.40
10 Br 0.4763 0.5917 0.7261  3 Cu 2.40-2.62

## Properties
**Space-group type**: P-1


# 2
Entry from Alexandria via LeMat-Bulk: a relaxed structure of Cu3IBr2 (PBE).

abc: 7.1427 7.1427 7.1598
angles: 99.71 99.71 119.91
Last column: nearest neighbours and their distance in Å.
Atoms (fractional coordinates):
1 Cu 0.0525 0.2290 0.3924  2 Br 2.49-2.50, 2 I 2.59
2 Cu 0.2290 0.0525 0.8924  2 Br 2.49-2.50, 2 I 2.59
3 Cu 0.8839 0.3968 0.8780  3 Br 2.50, 1 I 2.59
4 Cu 0.3968 0.8839 0.3780  3 Br 2.50, 1 I 2.59
5 Cu 0.5472 0.7120 0.8775  3 Br 2.50, 1 I 2.58
6 Cu 0.7120 0.5472 0.3775  3 Br 2.50, 1 I 2.58
7 I 0.0996 0.9266 0.5084  4 Cu 2.58-2.59
8 I 0.9266 0.0996 0.0084  4 Cu 2.58-2.59
9 Br 0.5943 0.4296 0.0072  4 Cu 2.50
10 Br 0.7586 0.2649 0.5076  4 Cu 2.49-2.50
11 Br 0.4296 0.5943 0.5072  4 Cu 2.50
12 Br 0.2649 0.7586 0.0076  4 Cu 2.49-2.50

## Properties
**Space-group type**: Cc


# 3
Entry from Alexandria via LeMat-Bulk: a relaxed structure of CuI2Br2 (PBE).

abc: 3.8835 3.8835 12.4923
angles: 81.06 81.06 90.00
Last column: nearest neighbours and their distance in Å.
Atoms (fractional coordinates):
1 I 0.4297 0.4297 0.1407  4 Cu 3.24, 1 I 3.43
2 I 0.5703 0.5703 0.8593  4 Cu 3.24, 1 I 3.43
3 Cu 0.0000 0.0000 0.0000  8 I 3.24
4 Br 0.7500 0.2500 0.5000  4 Br 2.75
5 Br 0.2500 0.7500 0.5000  4 Br 2.75

## Properties
**Space-group type**: I4/mmm


# 4
Entry from Alexandria via LeMat-Bulk: a relaxed structure of CuI4Br (PBE).

abc: 7.0144 9.8280 11.4719
angles: 105.97 95.23 120.06
Last column: nearest neighbours and their distance in Å.
Atoms (fractional coordinates):
1 Cu 0.0876 0.8376 0.6752  4 I 2.57
2 Cu 0.9124 0.1624 0.3248  4 I 2.57
3 I 0.9617 0.2690 0.1417  1 Cu 2.57, 1 Br 2.79
4 I 0.6799 0.8726 0.1417  1 Cu 2.57, 1 Br 2.79
5 I 0.2665 0.3754 0.5152  1 Cu 2.57
6 I 0.7335 0.6246 0.4848  1 Cu 2.57
7 I 0.2513 0.8602 0.4848  1 Cu 2.57
8 I 0.3201 0.1274 0.8583  1 Cu 2.57, 1 Br 2.79
9 I 0.7487 0.1398 0.5152  1 Cu 2.57
10 I 0.0383 0.7310 0.8583  1 Cu 2.57, 1 Br 2.79
11 Br 0.3361 0.5861 0.1723  2 I 2.79
12 Br 0.6639 0.4139 0.8277  2 I 2.79

## Properties
**Space-group type**: C2/c


# 5
Entry from Alexandria via LeMat-Bulk: a relaxed structure of CuI2Br2 (PBE).

abc: 5.7898 5.7898 7.6222
angles: 74.41 74.51 104.38
Last column: nearest neighbours and their distance in Å.
Atoms (fractional coordinates):
1 Cu 0.2000 0.0000 0.0000  2 Br 2.32
2 I 0.6108 0.4107 0.8647  1 Cu 2.63, 1 I 2.85
3 I 0.7892 0.5892 0.1353  1 Cu 2.63, 1 I 2.85
4 Br 0.0805 0.8804 0.3363  1 Cu 2.32
5 Br 0.3194 0.1195 0.6637  1 Cu 2.32

## Properties
**Space-group type**: P-1


# 6
Entry from Alexandria via LeMat-Bulk: a relaxed structure of CuI2Br (PBE).

abc: 6.1095 6.8765 6.9867
angles: 89.05 86.57 84.51
Last column: nearest neighbours and their distance in Å.
Atoms (fractional coordinates):
1 I 0.0586 0.6098 0.0736  2 Cu 2.69-2.70, 1 I 3.01
2 I 0.4830 0.6377 0.4264  1 Cu 2.57, 1 I 2.87
3 I 0.7633 0.6207 0.7427  2 I 2.87-3.01
4 I 0.2089 0.1268 0.7464  1 Cu 2.56
5 Cu 0.7459 0.8594 0.2493  2 Br 2.43-2.45, 2 I 2.57-2.70
6 Cu 0.1678 0.2220 0.0997  2 Br 2.41-2.44, 2 I 2.56-2.69
7 Br 0.9734 0.0923 0.3816  2 Cu 2.44-2.45
8 Br 0.5574 0.1217 0.0665  2 Cu 2.41-2.43

## Properties
**Space-group type**: P1


# 7
Entry from Alexandria via LeMat-Bulk: a relaxed structure of CuI3Br (PBE).

abc: 3.6796 8.4829 12.8082
angles: 102.07 90.00 90.00
Last column: nearest neighbours and their distance in Å.
Atoms (fractional coordinates):
1 Cu 0.2500 0.8284 0.2376  5 I 2.59-2.63
2 Cu 0.7500 0.1716 0.7624  5 I 2.59-2.63
3 I 0.7500 0.6586 0.3108  2 Cu 2.63
4 I 0.2500 0.3414 0.6892  2 Cu 2.63
5 I 0.7500 0.2391 0.9692  1 Cu 2.59
6 I 0.2500 0.9546 0.6906  2 Cu 2.63
7 I 0.2500 0.7609 0.0308  1 Cu 2.59
8 I 0.7500 0.0454 0.3094  2 Cu 2.63
9 Br 0.2500 0.3566 0.3236  4 I 3.19
10 Br 0.7500 0.6434 0.6764  4 I 3.19

## Properties
**Space-group type**: P2_1/m


# 8
Entry from Alexandria via LeMat-Bulk: a relaxed structure of CuI2Br (PBE).

abc: 4.4030 5.9624 6.0590
angles: 97.30 90.34 109.98
Last column: nearest neighbours and their distance in Å.
Atoms (fractional coordinates):
1 I 0.4060 0.6928 0.0945  1 Cu 2.56, 1 Br 2.86
2 I 0.6093 0.0711 0.7913  2 Cu 2.68, 1 I 2.99
3 Cu 0.2335 0.3405 0.7767  1 Br 2.38, 1 I 2.56
4 Br 0.2006 0.3309 0.3837  1 Cu 2.38

## Properties
**Space-group type**: P1


# 9
Entry from Alexandria via LeMat-Bulk: a relaxed structure of Cu4I5Br (PBE).

abc: 6.6365 7.8539 11.9472
angles: 90.00 90.00 90.00
Last column: nearest neighbours and their distance in Å.
Atoms (fractional coordinates):
1 Cu 0.0363 0.0000 0.7175  4 I 2.67-2.69
2 Cu 0.4763 0.7593 0.0000  1 Br 2.37, 3 I 2.59-2.63
3 Cu 0.4763 0.2407 0.0000  1 Br 2.37, 3 I 2.59-2.63
4 Cu 0.0363 0.0000 0.2825  4 I 2.67-2.69
5 Cu 0.9637 0.5000 0.2175  4 I 2.67-2.69
6 Cu 0.5237 0.7407 0.5000  1 Br 2.37, 3 I 2.59-2.63
7 Cu 0.5237 0.2593 0.5000  1 Br 2.37, 3 I 2.59-2.63
8 Cu 0.9637 0.5000 0.7825  4 I 2.67-2.69
9 I 0.2212 0.7499 0.8317  3 Cu 2.63-2.69
10 I 0.2212 0.2501 0.8317  3 Cu 2.63-2.69
11 I 0.7185 0.5000 0.0000  2 Cu 2.59
12 I 0.2212 0.7499 0.1683  3 Cu 2.63-2.69
13 I 0.2212 0.2501 0.1683  3 Cu 2.63-2.69
14 I 0.7788 0.7501 0.3317  3 Cu 2.63-2.69
15 I 0.7788 0.2499 0.3317  3 Cu 2.63-2.69
16 I 0.2815 0.0000 0.5000  2 Cu 2.59
17 I 0.7788 0.2499 0.6683  3 Cu 2.63-2.69
18 I 0.7788 0.7501 0.6683  3 Cu 2.63-2.69
19 Br 0.6929 0.0000 0.0000  2 Cu 2.37
20 Br 0.3071 0.5000 0.5000  2 Cu 2.37

## Properties
**Space-group type**: Pmmn


# 10
Entry from Alexandria via LeMat-Bulk: a relaxed structure of Cu2IBr8 (PBE).

abc: 7.1530 7.9040 7.9040
angles: 86.39 98.84 98.84
Last column: nearest neighbours and their distance in Å.
Atoms (fractional coordinates):
1 Cu 0.2859 0.7711 0.7711  4 Br 2.31-2.49
2 Cu 0.7141 0.2289 0.2289  4 Br 2.31-2.49
3 I 0.0000 0.0000 0.0000  4 Br 2.72
4 Br 0.8198 0.9416 0.2817  1 Cu 2.49, 1 I 2.72
5 Br 0.1802 0.7183 0.0584  1 Cu 2.49, 1 I 2.72
6 Br 0.5749 0.7118 0.7118  1 Cu 2.31
7 Br 0.4251 0.2882 0.2882  1 Cu 2.31
8 Br 0.8198 0.2817 0.9416  1 Cu 2.49, 1 I 2.72
9 Br 0.1802 0.0584 0.7183  1 Cu 2.49, 1 I 2.72
10 Br 0.1729 0.5586 0.5586  1 Cu 2.41, 1 Br 2.56
11 Br 0.8271 0.4414 0.4414  1 Cu 2.41, 1 Br 2.56

## Properties
**Space-group type**: C2/m


# 11
Entry from Alexandria via LeMat-Bulk: a relaxed structure of CuI3Br (PBE).

abc: 5.3938 5.3938 5.3938
angles: 90.00 90.00 90.00
Last column: nearest neighbours and their distance in Å.
Atoms (fractional coordinates):
1 I 0.0000 0.5000 0.0000  2 Cu 2.70
2 I 0.0000 0.0000 0.5000  2 Cu 2.70
3 I 0.5000 0.0000 0.0000  2 Cu 2.70
4 Cu 0.0000 0.0000 0.0000  6 I 2.70
5 Br 0.5000 0.5000 0.5000  12 I 3.81

## Properties
**Space-group type**: Pm-3m


# 12
Entry from Alexandria via LeMat-Bulk: a relaxed structure of Cu3I2Br (PBE).

abc: 4.2232 5.9270 7.2974
angles: 113.96 106.82 90.00
Last column: nearest neighbours and their distance in Å.
Atoms (fractional coordinates):
1 Cu 0.0000 0.0138 0.0000  2 Br 2.53, 2 I 2.61
2 Cu 0.3372 0.3282 0.6744  1 Br 2.51, 3 I 2.61
3 Cu 0.6628 0.6538 0.3256  1 Br 2.51, 3 I 2.61
4 I 0.8353 0.5846 0.6706  4 Cu 2.61
5 I 0.1647 0.9140 0.3294  4 Cu 2.61
6 Br 0.5000 0.2485 0.0000  4 Cu 2.51-2.53

## Properties
**Space-group type**: Imm2


# 13
Entry from Alexandria via LeMat-Bulk: a relaxed structure of Cu2I2Br3 (PBE).

abc: 3.8965 11.0951 8.9799
angles: 77.26 49.59 68.60
Last column: nearest neighbours and their distance in Å.
Atoms (fractional coordinates):
1 Cu 0.9025 0.0721 0.6779  3 Br 2.34-2.40
2 Cu 0.0975 0.9279 0.3221  3 Br 2.34-2.40
3 I 0.1944 0.5962 0.1406  1 I 2.73
4 I 0.8056 0.4038 0.8594  1 I 2.73
5 Br 0.5000 0.0000 0.0000  2 Cu 2.34
6 Br 0.4789 0.8341 0.4661  2 Cu 2.39-2.40
7 Br 0.5211 0.1659 0.5339  2 Cu 2.39-2.40

## Properties
**Space-group type**: P-1


# 14
Entry from Alexandria via LeMat-Bulk: a relaxed structure of CuI2Br (PBE).

abc: 5.3627 5.3627 5.3627
angles: 60.00 60.00 60.00
Last column: nearest neighbours and their distance in Å.
Atoms (fractional coordinates):
1 I 0.2500 0.2500 0.2500  4 Br 3.28, 4 Cu 3.28
2 I 0.7500 0.7500 0.7500  4 Br 3.28, 4 Cu 3.28
3 Cu 0.0000 0.0000 0.0000  8 I 3.28
4 Br 0.5000 0.5000 0.5000  8 I 3.28

## Properties
**Space-group type**: Fm-3m


# 15
Entry from Alexandria via LeMat-Bulk: a relaxed structure of CuI2Br (PBE).

abc: 6.0556 6.1939 8.6256
angles: 81.35 78.28 82.24
Last column: nearest neighbours and their distance in Å.
Atoms (fractional coordinates):
1 I 0.4032 0.0469 0.8956  1 Cu 2.59
2 I 0.0469 0.7575 0.0035  1 Cu 2.63, 1 I 2.91
3 I 0.3007 0.2485 0.3956  1 Cu 2.57
4 I 0.6526 0.5392 0.3005  1 Cu 2.59, 1 I 2.89
5 Cu 0.8758 0.3209 0.5110  2 Br 2.43, 2 I 2.57-2.59
6 Cu 0.7679 0.7945 0.8017  2 Br 2.44-2.45, 2 I 2.59-2.63
7 Br 0.9271 0.9235 0.5248  2 Cu 2.43-2.44
8 Br 0.7354 0.4108 0.7810  2 Cu 2.43-2.45

## Properties
**Space-group type**: P1


# 16
Entry from Alexandria via LeMat-Bulk: a relaxed structure of CuI2Br (PBE).

abc: 3.9946 9.3069 7.2564
angles: 90.00 90.00 90.00
Last column: nearest neighbours and their distance in Å.
Atoms (fractional coordinates):
1 I 0.0000 0.1740 0.8536  2 Cu 2.66
2 I 0.0000 0.8260 0.8536  2 Cu 2.66
3 I 0.5000 0.6740 0.3536  2 Cu 2.66
4 I 0.5000 0.3260 0.3536  2 Cu 2.66
5 Cu 0.0000 0.5000 0.4489  1 Br 2.53, 4 I 2.66
6 Cu 0.5000 0.0000 0.9489  1 Br 2.53, 4 I 2.66
7 Br 0.0000 0.5000 0.7975  1 Cu 2.53
8 Br 0.5000 0.0000 0.2975  1 Cu 2.53

## Properties
**Space-group type**: Imm2


# 17
Entry from Alexandria via LeMat-Bulk: a relaxed structure of CuI2Br (PBE).

abc: 5.9597 7.7373 7.7864
angles: 109.31 97.33 106.52
Last column: nearest neighbours and their distance in Å.
Atoms (fractional coordinates):
1 I 0.4849 0.3923 0.0196  2 Cu 2.59-2.62
2 I 0.2374 0.2774 0.4994  1 Cu 2.59
3 I 0.9078 0.3721 0.2666  1 Cu 2.65, 1 I 2.91
4 I 0.8244 0.8142 0.7511  1 Cu 2.55, 1 Br 2.83
5 Cu 0.2808 0.6200 0.2180  2 Br 2.40-2.50, 2 I 2.62-2.65
6 Cu 0.4656 0.5835 0.8044  1 Br 2.52, 3 I 2.55-2.59
7 Br 0.2138 0.7589 0.9765  2 Cu 2.50-2.52
8 Br 0.5085 0.8911 0.5061  1 Cu 2.40

## Properties
**Space-group type**: P1


# 18
Entry from Alexandria via LeMat-Bulk: a relaxed structure of CuI2Br (PBE).

abc: 4.3660 5.9443 6.2097
angles: 83.41 88.04 77.54
Last column: nearest neighbours and their distance in Å.
Atoms (fractional coordinates):
1 I 0.4605 0.0372 0.3765  2 Cu 2.60-2.63
2 I 0.8343 0.7369 0.0461  1 Cu 2.61, 1 Br 2.80
3 Cu 0.0271 0.7900 0.4261  1 Br 2.39, 3 I 2.60-2.63
4 Br 0.1275 0.4821 0.7160  1 Cu 2.39

## Properties
**Space-group type**: P1


# 19
Entry from Alexandria via LeMat-Bulk: a relaxed structure of CuI2Br (PBE).

abc: 5.9636 6.5454 7.6298
angles: 89.98 92.96 97.65
Last column: nearest neighbours and their distance in Å.
Atoms (fractional coordinates):
1 I 0.0513 0.9416 0.3498  1 Cu 2.57
2 I 0.6889 0.3208 0.3343  1 Cu 2.58
3 I 0.3910 0.6468 0.3623  1 Cu 2.84, 2 I 2.97-2.98
4 I 0.1812 0.2905 0.8358  1 Cu 2.54
5 Cu 0.7495 0.8612 0.5771  2 Br 2.44, 1 I 2.57
6 Cu 0.8059 0.2753 0.6612  2 Br 2.46-2.52, 2 I 2.54-2.58
7 Br 0.5146 0.0073 0.7845  2 Cu 2.44-2.52
8 Br 0.8314 0.6147 0.8045  2 Cu 2.44-2.46

## Properties
**Space-group type**: P1


# 20
Entry from Alexandria via LeMat-Bulk: a relaxed structure of Cu2IBr3 (PBE).

abc: 3.5680 10.6514 14.5138
angles: 129.48 90.00 99.64
Last column: nearest neighbours and their distance in Å.
Atoms (fractional coordinates):
1 Cu 0.3618 0.7237 0.6998  3 Br 2.27-2.33
2 Cu 0.6382 0.2763 0.3002  3 Br 2.27-2.33
3 Cu 0.7927 0.5854 0.2183  2 Br 2.43, 2 I 2.61
4 Cu 0.2073 0.4146 0.7817  2 Br 2.43, 2 I 2.61
5 I 0.8195 0.6391 0.9283  2 Cu 2.61
6 I 0.1805 0.3609 0.0717  2 Cu 2.61
7 Br 0.2241 0.4483 0.6081  1 Cu 2.27
8 Br 0.9535 0.9070 0.7652  2 Cu 2.33
9 Br 0.6051 0.2102 0.6967  2 Cu 2.43
10 Br 0.3949 0.7898 0.3033  2 Cu 2.43
11 Br 0.0465 0.0930 0.2348  2 Cu 2.33
12 Br 0.7759 0.5517 0.3919  1 Cu 2.27

## Properties
**Space-group type**: C2/m


So what do the calculations give for ΔE_f (raw)? Going down the list: -0.215 -0.198 0.402 -0.033 -0.122 -0.083 0.043 -0.116 -0.120 -0.088 0.258 -0.165 -0.149 0.598 -0.127 -0.076 -0.115 -0.108 -0.093 -0.207 eV/atom.